The following is a PBE+U calculation of crystalline InMoPbO6 at its relaxed geometry, from the Alexandria database.

POSCAR file:
```
InMoPbO6
1.0
5.489 0.000 0.000
-2.744 4.753 0.000
0.000 0.000 4.900
In Mo Pb O
1 1 1 6
direct
0.000 0.000 0.000
0.333 0.667 0.000
0.667 0.333 0.500
0.047 0.362 0.223
0.047 0.684 0.777
0.316 0.362 0.777
0.316 0.953 0.223
0.638 0.684 0.223
0.638 0.953 0.777
```

Properties
* space group: No. 149
* electronic total energy: -0.2249 Ha/atom